# SiH12C4N10F6 | Alexandria via LeMat-Bulk | PBE | optimized geometry
data_SiH12C4N10F6
_chemical_formula_sum 'Si1 H12 C4 N10 F6'
_cell_length_a 6.150
_cell_length_b 7.837
_cell_length_c 7.882
_cell_angle_alpha 103.80
_cell_angle_beta 107.67
_cell_angle_gamma 106.40
_space_group_name_H-M_alt 'P -1'
_space_group_IT_number 2
loop_
_space_group_symop_operation_xyz
'x,y,z'
'-x,-y,-z'
loop_
_atom_site_label
_atom_site_fract_x
_atom_site_fract_y
_atom_site_fract_z
_atom_site_occupancy
Si1 0.000 0.000 0.000 1
H1 0.111 0.845 0.600 1
H2 0.147 0.440 0.179 1
H3 0.308 0.753 0.999 1
H4 0.421 0.296 0.570 1
H5 0.429 0.134 0.376 1
H6 0.484 0.326 0.065 1
C1 0.155 0.499 0.780 1
C2 0.233 0.688 0.413 1
N1 0.075 0.746 0.473 1
N2 0.089 0.535 0.250 1
N3 0.171 0.372 0.644 1
N4 0.343 0.640 0.935 1
N5 0.478 0.764 0.490 1
F1 0.073 0.952 0.806 1
F2 0.177 0.240 0.068 1
F3 0.255 0.967 0.131 1
# VASP energy: -6.21 eV/atom

# SnH6CN3F3 | Alexandria via LeMat-Bulk | PBE | optimized geometry
data_SnH6CN3F3
_chemical_formula_sum 'Sn4 H24 C4 N12 F12'
_cell_length_a 7.297
_cell_length_b 7.534
_cell_length_c 14.128
_cell_angle_alpha 90.00
_cell_angle_beta 113.86
_cell_angle_gamma 90.00
_space_group_name_H-M_alt 'P 1 21/c 1'
_space_group_IT_number 14
loop_
_space_group_symop_operation_xyz
'x,y,z'
'-x,-y,-z'
'-x,y+1/2,-z+1/2'
'x,-y+1/2,z+1/2'
loop_
_atom_site_label
_atom_site_fract_x
_atom_site_fract_y
_atom_site_fract_z
_atom_site_occupancy
Sn1 0.022 0.078 0.219 1
H1 0.172 0.592 0.098 1
H2 0.191 0.577 0.975 1
H3 0.349 0.211 0.940 1
H4 0.406 0.135 0.788 1
H5 0.413 0.728 0.231 1
H6 0.441 0.711 0.952 1
C1 0.409 0.717 0.087 1
N1 0.242 0.620 0.050 1
N2 0.486 0.732 0.687 1
N3 0.500 0.237 0.975 1
F1 0.090 0.216 0.845 1
F2 0.196 0.583 0.847 1
F3 0.231 0.545 0.246 1
# VASP energy: -5.54 eV/atom

# TiH12C2N6F6 | Alexandria via LeMat-Bulk | PBE | optimized geometry
data_TiH12C2N6F6
_chemical_formula_sum 'Ti2 H24 C4 N12 F12'
_cell_length_a 12.847
_cell_length_b 7.392
_cell_length_c 6.453
_cell_angle_alpha 90.00
_cell_angle_beta 112.55
_cell_angle_gamma 90.00
_space_group_name_H-M_alt 'C 1 2/m 1'
_space_group_IT_number 12
loop_
_space_group_symop_operation_xyz
'x,y,z'
'-x,-y,-z'
'-x,y,-z'
'x,-y,z'
'x+1/2,y+1/2,z'
'-x+1/2,-y+1/2,-z'
'-x+1/2,y+1/2,-z'
'x+1/2,-y+1/2,z'
loop_
_atom_site_label
_atom_site_fract_x
_atom_site_fract_y
_atom_site_fract_z
_atom_site_occupancy
Ti1 0.000 0.000 0.000 1
H1 0.075 0.382 0.258 1
H2 0.149 0.158 0.740 1
H3 0.233 0.223 0.256 1
C1 0.222 0.500 0.274 1
N1 0.119 0.500 0.279 1
N2 0.225 0.157 0.724 1
F1 0.021 0.182 0.812 1
F2 0.157 0.000 0.173 1
# VASP energy: -5.90 eV/atom

# ZrH24C8N2F6 | Alexandria via LeMat-Bulk | PBE | optimized geometry
data_ZrH24C8N2F6
_chemical_formula_sum 'Zr3 H72 C24 N6 F18'
_cell_length_a 8.2285
_cell_length_b 8.2285
_cell_length_c 20.3136
_cell_angle_alpha 90.00
_cell_angle_beta 90.00
_cell_angle_gamma 120.00
_space_group_name_H-M_alt 'R -3'
_space_group_IT_number 148
_space_group_name_Hall '-R 3'
loop_
_atom_site_label
_atom_site_fract_x
_atom_site_fract_y
_atom_site_fract_z
_atom_site_occupancy
Zr1 0.0000 0.0000 0.0000 1
H1 0.0214 0.2678 0.2432 1
H2 0.0291 0.7582 0.2429 1
H3 0.0721 0.1459 0.6595 1
H4 0.0953 0.1964 0.1706 1
C1 0.0000 0.0000 0.3232 1
C2 0.0969 0.1987 0.2246 1
N1 0.0000 0.0000 0.2493 1
F1 0.0987 0.5459 0.7250 1
# VASP energy: -5.43 eV/atom

# ZrH14C2N8F6 | Alexandria via LeMat-Bulk | PBE | optimized geometry
data_ZrH14C2N8F6
_chemical_formula_sum 'Zr2 H28 C4 N16 F12'
_cell_length_a 6.476
_cell_length_b 6.588
_cell_length_c 14.507
_cell_angle_alpha 90.00
_cell_angle_beta 98.76
_cell_angle_gamma 90.00
_space_group_name_H-M_alt 'P 1 21/c 1'
_space_group_IT_number 14
loop_
_space_group_symop_operation_xyz
'x,y,z'
'-x,-y,-z'
'-x,y+1/2,-z+1/2'
'x,-y+1/2,z+1/2'
loop_
_atom_site_label
_atom_site_fract_x
_atom_site_fract_y
_atom_site_fract_z
_atom_site_occupancy
Zr1 0.000 0.000 0.000 1
H1 0.002 0.024 0.235 1
H2 0.020 0.068 0.355 1
H3 0.250 0.039 0.570 1
H4 0.350 0.546 0.351 1
H5 0.389 0.622 0.903 1
H6 0.398 0.130 0.410 1
H7 0.439 0.003 0.210 1
C1 0.274 0.514 0.210 1
N1 0.067 0.522 0.206 1
N2 0.349 0.505 0.128 1
N3 0.404 0.512 0.290 1
N4 0.435 0.008 0.372 1
F1 0.116 0.218 0.474 1
F2 0.147 0.012 0.135 1
F3 0.256 0.631 0.457 1
# VASP energy: -5.90 eV/atom

# Nd4HC2F | Alexandria via LeMat-Bulk | PBE | optimized geometry
data_Nd4HC2F
_chemical_formula_sum 'Nd4 H1 C2 F1'
_cell_length_a 6.449
_cell_length_b 3.730
_cell_length_c 6.515
_cell_angle_alpha 90.00
_cell_angle_beta 108.94
_cell_angle_gamma 90.00
_space_group_name_H-M_alt 'P 1 2/m 1'
_space_group_IT_number 10
loop_
_space_group_symop_operation_xyz
'x,y,z'
'-x,-y,-z'
'-x,y,-z'
'x,-y,z'
loop_
_atom_site_label
_atom_site_fract_x
_atom_site_fract_y
_atom_site_fract_z
_atom_site_occupancy
Nd1 0.241 0.000 0.225 1
Nd2 0.259 0.500 0.772 1
H1 0.000 0.000 0.500 1
C1 0.000 0.500 0.000 1
C2 0.500 0.000 0.000 1
F1 0.500 0.500 0.500 1
# VASP energy: -6.23 eV/atom

What are the magnetic moment values for these records? In order: 0.000, 0.000, 0.000, 0.000, 0.000, 0.000 μB per atom.